Record 1
# Hg2AsPb, optimized geometry, DFT PBE
data_Hg2AsPb
_cell_length_a 7.377
_cell_length_b 4.286
_cell_length_c 7.619
_cell_angle_alpha 90.00
_cell_angle_beta 107.64
_cell_angle_gamma 90.00
_space_group_name_H-M_alt 'C 1 m 1'
_space_group_IT_number 8
_space_group_name_Hall 'C -2y'
loop_
_atom_site_label
_atom_site_type_symbol
_atom_site_fract_x
_atom_site_fract_y
_atom_site_fract_z
Hg1 Hg 0.000 0.000 0.000
Hg2 Hg 0.250 0.000 0.748
As1 As 0.247 0.500 0.231
Pb1 Pb 0.474 0.000 0.434
# Energy of formation from the pure elements, eV per atom: 0.050
# DFT total energy, eV for the cell shown: -17.52
# Total magnetic moment, μB/f.u.: 0.0
# E above lowest polymorph, meV per atom: 0
# Volume, Å³ per atom: 28.70
# Crystal system: monoclinic

Record 2
# Hg3As5Pb12, optimized geometry, DFT PBE
data_Hg3As5Pb12
_cell_length_a 17.515
_cell_length_b 17.515
_cell_length_c 17.515
_cell_angle_alpha 90.00
_cell_angle_beta 90.00
_cell_angle_gamma 90.00
_space_group_name_H-M_alt 'I a -3 d'
_space_group_IT_number 230
_space_group_name_Hall '-I 4bd 2c 3'
loop_
_atom_site_label
_atom_site_type_symbol
_atom_site_fract_x
_atom_site_fract_y
_atom_site_fract_z
Hg1 Hg 0.000 0.250 0.125
As1 As 0.000 0.000 0.000
As2 As 0.000 0.250 0.375
Pb1 Pb 0.026 0.079 0.650
# Energy of formation from the pure elements, eV per atom: 0.129
# DFT total energy, eV for the cell shown: -528.65
# Total magnetic moment, μB/f.u.: 0.0
# Volume, Å³ per atom: 33.58
# Crystal system: cubic